Computed, not measured: crystalline NaCeZnGa at its relaxed geometry at the PBE-GGA level of DFT.

Unit cell a=5.0417 b=5.0417 c=5.0417 alpha=60.00 beta=60.00 gamma=60.00
Last column: magnetic moment on the atom in μB.
Fractional positions:
Zn 0.7500 0.7500 0.7500  0.01
Na 0.5000 0.5000 0.5000  0.00
Ga 0.2500 0.2500 0.2500  0.01
Ce 0.0000 0.0000 0.0000  0.58

Values from the calculation:
calculated formation energy = -0.1595 eV per atom
magnetic moment = 0.169 μB/atom